Entry 1:
The following is a PBE calculation of an optimized crystal structure of Li5InRh, from Alexandria via LeMat-Bulk.

```
Li5InRh
1.0
-0.474 -3.446 -1.467
3.665 -0.123 -0.894
1.695 -3.388 7.413
Li In Rh
5 1 1
direct
0.500 0.000 0.729
0.500 0.000 0.271
0.000 0.000 0.500
0.000 0.500 0.729
0.000 0.500 0.271
0.000 0.000 0.000
0.500 0.500 0.500
```

The spin magnetization comes out at 0.000 μB/atom. As for the symmetry: No. 123. The calculation puts the density of states at the Fermi level at 0.54 states/eV/atom. As for the energy of formation from the pure elements: -0.054 eV/atom.

***

Entry 2:
The following is a PBE calculation of an optimized crystal structure of CaCu2Ag, from Alexandria via LeMat-Bulk.

```
CaCu2Ag
1.0
4.530 0.000 0.000
0.000 4.530 0.000
2.265 2.265 9.041
Ag Ca Cu
2 2 4
direct
0.750 0.250 0.500
0.000 0.000 0.000
0.500 0.500 0.000
0.250 0.750 0.500
0.375 0.179 0.750
0.929 0.625 0.250
0.821 0.125 0.250
0.875 0.071 0.750
```

The energy above the most stable polymorph in this dataset is 0.81 eV/f.u. The spin magnetization comes out at 0.000 μB/atom. As for the symmetry: No. 122. The calculation puts the density of states at the Fermi level at 0.43 states/eV/atom. As for the energy of formation from the pure elements: 0.125 eV/atom.

***

Entry 3:
The following is a PBE calculation of an optimized crystal structure of Ac2CePu3Te6, from Alexandria via LeMat-Bulk.

```
Ac2CePu3Te6
1.0
4.547 0.000 0.000
0.000 9.109 0.348
-2.274 -2.600 9.590
Te Ce Pu Ac
6 1 3 2
direct
0.994 0.251 0.988
0.663 0.597 0.327
0.006 0.749 0.012
0.667 0.071 0.334
0.333 0.929 0.666
0.337 0.403 0.673
0.500 0.000 0.000
0.831 0.163 0.662
0.169 0.837 0.338
0.500 0.500 0.000
0.836 0.667 0.671
0.164 0.333 0.329
```

The spin magnetization comes out at 0.397 μB/atom. As for the symmetry: No. 12. The calculation puts the density of states at the Fermi level at 3.50 states/eV/atom. The formation energy without anion corrections comes out at -1.259 eV per atom.

***

Number 1: final energy -20.037 eV per cell. Number 2: final energy -25.087 eV per cell. Number 3: final energy -91.109 eV per cell.